Entry 1:
Compound: Ba4Li2Br
Source: Alexandria
Functional: PBE-GGA
Structure: optimized geometry

```
data_Ba4Li2Br
_cell_length_a 6.484
_cell_length_b 6.484
_cell_length_c 16.880
_cell_angle_alpha 90.00
_cell_angle_beta 90.00
_cell_angle_gamma 90.00
_symmetry_space_group_name_H-M 'I 4/m m m'
_symmetry_Int_Tables_number 139
_symmetry_space_group_name_Hall '-I 4 2'
loop_
_atom_site_label
_atom_site_type_symbol
_atom_site_fract_x
_atom_site_fract_y
_atom_site_fract_z
Ba1 Ba 0.000 0.000 0.202
Ba2 Ba 0.000 0.500 0.000
Li1 Li 0.000 0.000 0.406
Br1 Br 0.000 0.000 0.000
```

=====

Entry 2:
Compound: Ba2LiBr
Source: Alexandria
Functional: PBE-GGA
Structure: optimized geometry

```
data_Ba2LiBr
_cell_length_a 8.839
_cell_length_b 8.839
_cell_length_c 8.839
_cell_angle_alpha 90.00
_cell_angle_beta 90.00
_cell_angle_gamma 90.00
_symmetry_space_group_name_H-M 'F -4 3 m'
_symmetry_Int_Tables_number 216
_symmetry_space_group_name_Hall 'F -4 2 3'
loop_
_atom_site_label
_atom_site_type_symbol
_atom_site_fract_x
_atom_site_fract_y
_atom_site_fract_z
Ba1 Ba 0.000 0.000 0.000
Ba2 Ba 0.250 0.250 0.250
Li1 Li 0.250 0.250 0.750
Br1 Br 0.000 0.000 0.500
```

Calculated values
E above lowest polymorph = 510 meV per atom

=====

Entry 3:
Compound: Ba2LiBr
Source: Alexandria
Functional: PBE-GGA
Structure: optimized geometry

```
data_Ba2LiBr
_cell_length_a 8.076
_cell_length_b 4.666
_cell_length_c 9.674
_cell_angle_alpha 90.00
_cell_angle_beta 106.26
_cell_angle_gamma 90.00
_symmetry_space_group_name_H-M 'C 1 2/m 1'
_symmetry_Int_Tables_number 12
_symmetry_space_group_name_Hall '-C 2y'
loop_
_atom_site_label
_atom_site_type_symbol
_atom_site_fract_x
_atom_site_fract_y
_atom_site_fract_z
Ba1 Ba 0.247 0.000 0.243
Li1 Li 0.000 0.000 0.500
Br1 Br 0.000 0.500 0.000
```

Calculated values
E above lowest polymorph = 0 meV per atom

=====

Entry 4:
Compound: Ba2LiBr
Source: Alexandria
Functional: PBE-GGA
Structure: optimized geometry

```
data_Ba2LiBr
_cell_length_a 4.928
_cell_length_b 4.928
_cell_length_c 7.078
_cell_angle_alpha 90.00
_cell_angle_beta 90.00
_cell_angle_gamma 90.00
_symmetry_space_group_name_H-M 'P 4/m m m'
_symmetry_Int_Tables_number 123
_symmetry_space_group_name_Hall '-P 4 2'
loop_
_atom_site_label
_atom_site_type_symbol
_atom_site_fract_x
_atom_site_fract_y
_atom_site_fract_z
Ba1 Ba 0.000 0.000 0.000
Ba2 Ba 0.500 0.500 0.500
Li1 Li 0.000 0.000 0.500
Br1 Br 0.500 0.500 0.000
```

Calculated values
E above lowest polymorph = 11 meV per atom

=====

Entry 5:
Compound: BaLiBr2
Source: Alexandria
Functional: PBE-GGA
Structure: optimized geometry

```
data_BaLiBr2
_cell_length_a 4.1667
_cell_length_b 4.1667
_cell_length_c 23.9470
_cell_angle_alpha 90.00
_cell_angle_beta 90.00
_cell_angle_gamma 120.00
_symmetry_space_group_name_H-M 'R 3 m'
_symmetry_Int_Tables_number 160
_symmetry_space_group_name_Hall 'R 3 -2"'
loop_
_atom_site_label
_atom_site_type_symbol
_atom_site_fract_x
_atom_site_fract_y
_atom_site_fract_z
Ba1 Ba 0.0000 0.0000 0.0000
Li1 Li 0.0000 0.0000 0.1687
Br1 Br 0.0000 0.0000 0.5634
Br2 Br 0.0000 0.0000 0.7699
```

Calculated values
E above lowest polymorph = 1 meV per atom

=====

Entry 6:
Compound: BaLiBr2
Source: Alexandria
Functional: PBE-GGA
Structure: optimized geometry

```
data_BaLiBr2
_cell_length_a 7.515
_cell_length_b 7.509
_cell_length_c 4.145
_cell_angle_alpha 90.00
_cell_angle_beta 90.15
_cell_angle_gamma 90.00
_symmetry_space_group_name_H-M 'C 1 2/m 1'
_symmetry_Int_Tables_number 12
_symmetry_space_group_name_Hall '-C 2y'
loop_
_atom_site_label
_atom_site_type_symbol
_atom_site_fract_x
_atom_site_fract_y
_atom_site_fract_z
Ba1 Ba 0.000 0.000 0.000
Li1 Li 0.000 0.500 0.000
Br1 Br 0.250 0.250 0.500
```

Calculated values
E above lowest polymorph = 136 meV per atom

=====

Entry 7:
Compound: BaLiBr2
Source: Alexandria
Functional: PBE-GGA
Structure: optimized geometry

```
data_BaLiBr2
_cell_length_a 4.1180
_cell_length_b 4.1180
_cell_length_c 24.0110
_cell_angle_alpha 90.00
_cell_angle_beta 90.00
_cell_angle_gamma 120.00
_symmetry_space_group_name_H-M 'R -3 m'
_symmetry_Int_Tables_number 166
_symmetry_space_group_name_Hall '-R 3 2"'
loop_
_atom_site_label
_atom_site_type_symbol
_atom_site_fract_x
_atom_site_fract_y
_atom_site_fract_z
Ba1 Ba 0.0000 0.0000 0.0000
Li1 Li 0.0000 0.0000 0.5000
Br1 Br 0.0000 0.0000 0.2300
```

Calculated values
E above lowest polymorph = 0 meV per atom

=====

Entry 8:
Compound: Ba3Li5Br12
Source: Alexandria
Functional: PBE-GGA
Structure: optimized geometry

```
data_Ba3Li5Br12
_cell_length_a 17.125
_cell_length_b 17.125
_cell_length_c 17.125
_cell_angle_alpha 90.00
_cell_angle_beta 90.00
_cell_angle_gamma 90.00
_symmetry_space_group_name_H-M 'I a -3 d'
_symmetry_Int_Tables_number 230
_symmetry_space_group_name_Hall '-I 4bd 2c 3'
loop_
_atom_site_label
_atom_site_type_symbol
_atom_site_fract_x
_atom_site_fract_y
_atom_site_fract_z
Ba1 Ba 0.000 0.250 0.125
Li1 Li 0.000 0.000 0.000
Li2 Li 0.000 0.250 0.375
Br1 Br 0.032 0.057 0.649
```

=====

Entry 9:
Compound: Ba2LiBr
Source: Alexandria
Functional: PBE-GGA
Structure: optimized geometry

```
data_Ba2LiBr
_cell_length_a 4.198
_cell_length_b 4.198
_cell_length_c 11.402
_cell_angle_alpha 90.00
_cell_angle_beta 90.00
_cell_angle_gamma 90.00
_symmetry_space_group_name_H-M 'P 4 m m'
_symmetry_Int_Tables_number 99
_symmetry_space_group_name_Hall 'P 4 -2'
loop_
_atom_site_label
_atom_site_type_symbol
_atom_site_fract_x
_atom_site_fract_y
_atom_site_fract_z
Ba1 Ba 0.000 0.000 0.000
Ba2 Ba 0.500 0.500 0.335
Li1 Li 0.500 0.500 0.771
Br1 Br 0.000 0.000 0.463
```

Calculated values
E above lowest polymorph = 97 meV per atom

=====

Entry 10:
Compound: BaLiBr4
Source: Alexandria
Functional: PBE-GGA
Structure: optimized geometry

```
data_BaLiBr4
_cell_length_a 9.352
_cell_length_b 9.352
_cell_length_c 9.352
_cell_angle_alpha 90.00
_cell_angle_beta 90.00
_cell_angle_gamma 90.00
_symmetry_space_group_name_H-M 'F -4 3 m'
_symmetry_Int_Tables_number 216
_symmetry_space_group_name_Hall 'F -4 2 3'
loop_
_atom_site_label
_atom_site_type_symbol
_atom_site_fract_x
_atom_site_fract_y
_atom_site_fract_z
Ba1 Ba 0.000 0.000 0.000
Li1 Li 0.250 0.250 0.250
Br1 Br 0.125 0.125 0.625
```

=====

Entry 11:
Compound: BaLi2Br
Source: Alexandria
Functional: PBE-GGA
Structure: optimized geometry

```
data_BaLi2Br
_cell_length_a 4.104
_cell_length_b 6.883
_cell_length_c 9.764
_cell_angle_alpha 90.00
_cell_angle_beta 90.00
_cell_angle_gamma 90.00
_symmetry_space_group_name_H-M 'C m m m'
_symmetry_Int_Tables_number 65
_symmetry_space_group_name_Hall '-C 2 2'
loop_
_atom_site_label
_atom_site_type_symbol
_atom_site_fract_x
_atom_site_fract_y
_atom_site_fract_z
Ba1 Ba 0.000 0.000 0.000
Li1 Li 0.000 0.500 0.332
Br1 Br 0.000 0.000 0.500
```

Calculated values
E above lowest polymorph = 108 meV per atom

=====

Entry 12:
Compound: BaLi2Br
Source: Alexandria
Functional: PBE-GGA
Structure: optimized geometry

```
data_BaLi2Br
_cell_length_a 4.256
_cell_length_b 4.256
_cell_length_c 7.504
_cell_angle_alpha 90.00
_cell_angle_beta 90.00
_cell_angle_gamma 90.00
_symmetry_space_group_name_H-M 'P 4 m m'
_symmetry_Int_Tables_number 99
_symmetry_space_group_name_Hall 'P 4 -2'
loop_
_atom_site_label
_atom_site_type_symbol
_atom_site_fract_x
_atom_site_fract_y
_atom_site_fract_z
Ba1 Ba 0.000 0.000 0.000
Li1 Li 0.000 0.000 0.555
Li2 Li 0.500 0.500 0.635
Br1 Br 0.500 0.500 0.188
```

Calculated values
E above lowest polymorph = 30 meV per atom

=====

Number 1: uncorrected formation energy -196 kJ/mol of formula units. Number 2: uncorrected formation energy -71 kJ/mol of formula units. Number 3: uncorrected formation energy -268 kJ/mol of formula units. Number 4: uncorrected formation energy -263 kJ/mol of formula units. Number 5: uncorrected formation energy -575 kJ/mol of formula units. Number 6: uncorrected formation energy -523 kJ/mol of formula units. Number 7: uncorrected formation energy -575 kJ/mol of formula units. Number 8: uncorrected formation energy -3293 kJ/mol of formula units. Number 9: uncorrected formation energy -230 kJ/mol of formula units. Number 10: uncorrected formation energy -404 kJ/mol of formula units. Number 11: uncorrected formation energy -205 kJ/mol of formula units. Number 12: uncorrected formation energy -235 kJ/mol of formula units.